Run P
Crystalline Li2ZrSn2 at its relaxed geometry. Source: Alexandria via LeMat-Bulk, functional PBE.

Cell: 3.985 3.985 12.917 Å, 90.00 90.00 90.00°
Space group I4/mmm (No. 139)
Asymmetric unit:
Li 0.000 0.500 0.250
Zr 0.000 0.000 0.000
Sn 0.000 0.000 0.392

Run Q
Crystalline Li2ZrSn2 at its relaxed geometry. Source: Alexandria via LeMat-Bulk, functional PBE.

Cell: 7.912 7.912 3.102 Å, 90.00 90.00 90.00°
Space group P4/mbm (No. 127)
Asymmetric unit:
Li 0.113 0.387 0.000
Zr 0.000 0.000 0.000
Sn 0.182 0.682 0.500

Relative energies, unit eV/atom: run P 0.031; run Q 0.000

Run P
Crystalline SrLi6 at its relaxed geometry. Source: Alexandria via LeMat-Bulk, functional PBE.

Cell: 9.724 6.083 12.050 Å, 90.00 90.00 90.00°
Space group Pnma (No. 62)
Asymmetric unit:
Sr 0.244 0.250 0.065
Li 0.058 0.750 0.094
Li 0.065 0.004 0.309
Li 0.098 0.250 0.518
Li 0.143 0.750 0.858
Li 0.186 0.250 0.756

Run Q
Crystalline SrLi6 at its relaxed geometry. Source: Alexandria via LeMat-Bulk, functional PBE.

Cell: 6.129 6.129 6.129 Å, 90.00 90.00 90.00°
Space group Pm-3m (No. 221)
Asymmetric unit:
Sr 0.000 0.000 0.000
Li 0.193 0.500 0.500

Run R
Crystalline SrLi6 at its relaxed geometry. Source: Alexandria via LeMat-Bulk, functional PBE.

Cell: 7.321 7.321 7.321 Å, 90.00 90.00 90.00°
Space group Im-3m (No. 229)
Asymmetric unit:
Sr 0.000 0.000 0.000
Li 0.000 0.250 0.500

Relative energies, unit eV/atom: run P 0.000; run Q 0.387; run R 0.213

Run P
Crystalline Sr5Li3 at its relaxed geometry. Source: Alexandria via LeMat-Bulk, functional PBE.

Cell: 19.505 19.553 7.149 Å, 90.00 90.00 90.00°
Space group Fmm2 (No. 42)
Asymmetric unit:
Sr 0.000 0.000 0.000
Sr 0.000 0.000 0.500
Sr 0.103 0.182 0.250
Sr 0.182 0.103 0.750
Li 0.000 0.163 0.750
Li 0.163 0.000 0.250
Li 0.250 0.250 0.000

Run Q
Crystalline Sr5Li3 at its relaxed geometry. Source: Alexandria via LeMat-Bulk, functional PBE.

Cell: 4.275 4.275 18.514 Å, 90.00 90.00 90.00°
Space group P4/mmm (No. 123)
Asymmetric unit:
Sr 0.000 0.000 0.000
Sr 0.000 0.000 0.225
Sr 0.500 0.500 0.388
Li 0.000 0.000 0.500
Li 0.500 0.500 0.113

Relative energies, unit eV/atom: run P 0.014; run Q 0.000

Run P
Crystalline Sr4Li5 at its relaxed geometry. Source: Alexandria via LeMat-Bulk, functional PBE.

Cell: 10.3554 10.3554 7.2539 Å, 90.00 90.00 120.00°
Space group P6_3/mcm (No. 193)
Asymmetric unit:
Sr 0.0000 0.0000 0.0000
Sr 0.0000 0.3607 0.2500
Li 0.0000 0.3130 0.7500
Li 0.3333 0.6667 0.0000

Run Q
Crystalline Sr4Li5 at its relaxed geometry. Source: Alexandria via LeMat-Bulk, functional PBE.

Cell: 10.888 10.888 5.629 Å, 90.00 90.00 90.00°
Space group I4/mmm (No. 139)
Asymmetric unit:
Sr 0.000 0.304 0.000
Li 0.000 0.000 0.000
Li 0.138 0.138 0.500

Relative energies, unit eV/atom: run P 0.012; run Q 0.000

Run P
Crystalline SrLi5 at its relaxed geometry. Source: Alexandria via LeMat-Bulk, functional PBE.

Cell: 11.793 3.910 7.177 Å, 90.00 106.85 90.00°
Space group C2/m (No. 12)
Asymmetric unit:
Sr 0.000 0.000 0.000
Li 0.000 0.000 0.500
Li 0.173 0.500 0.382
Li 0.189 0.500 0.805

Run Q
Crystalline SrLi5 at its relaxed geometry. Source: Alexandria via LeMat-Bulk, functional PBE.

Cell: 4.347 4.467 16.629 Å, 90.00 90.00 90.00°
Space group Amm2 (No. 38)
Asymmetric unit:
Sr 0.000 0.000 0.000
Li 0.000 0.000 0.299
Li 0.000 0.000 0.667
Li 0.500 0.000 0.174
Li 0.500 0.000 0.415
Li 0.500 0.000 0.800

Run R
Crystalline SrLi5 at its relaxed geometry. Source: Alexandria via LeMat-Bulk, functional PBE.

Cell: 6.2986 6.2986 4.6375 Å, 90.00 90.00 120.00°
Space group P6/mmm (No. 191)
Asymmetric unit:
Sr 0.0000 0.0000 0.0000
Li 0.0000 0.5000 0.5000
Li 0.3333 0.6667 0.0000

Relative energies, unit eV/atom: run P 0.034; run Q 0.045; run R 0.000

Run P
Crystalline Sr3LiTa at its relaxed geometry. Source: Alexandria via LeMat-Bulk, functional PBE.

Cell: 6.053 6.053 6.053 Å, 90.00 90.00 90.00°
Space group Pm-3m (No. 221)
Asymmetric unit:
Sr 0.000 0.000 0.500
Li 0.500 0.500 0.500
Ta 0.000 0.000 0.000

Run Q
Crystalline Sr3LiTa at its relaxed geometry. Source: Alexandria via LeMat-Bulk, functional PBE.

Cell: 5.893 5.893 5.893 Å, 90.00 90.00 90.00°
Space group Pm-3m (No. 221)
Asymmetric unit:
Sr 0.000 0.000 0.500
Li 0.000 0.000 0.000
Ta 0.500 0.500 0.500

Relative energies, unit eV/atom: run P 0.000; run Q 0.190

Run P
Crystalline Sr2LiTa at its relaxed geometry. Source: Alexandria via LeMat-Bulk, functional PBE.

Cell: 10.722 3.297 7.131 Å, 90.00 95.54 90.00°
Space group C2/m (No. 12)
Asymmetric unit:
Sr 0.246 0.000 0.236
Li 0.000 0.000 0.500
Ta 0.000 0.500 0.000

Run Q
Crystalline Sr2LiTa at its relaxed geometry. Source: Alexandria via LeMat-Bulk, functional PBE.

Cell: 7.965 7.965 7.965 Å, 90.00 90.00 90.00°
Space group F-43m (No. 216)
Asymmetric unit:
Sr 0.000 0.000 0.000
Sr 0.250 0.250 0.250
Li 0.000 0.000 0.500
Ta 0.250 0.250 0.750

Relative energies, unit eV/atom: run P 0.000; run Q 0.084

Run P
Crystalline SrLiTa2 at its relaxed geometry. Source: Alexandria via LeMat-Bulk, functional PBE.

Cell: 3.1347 3.1347 31.9221 Å, 90.00 90.00 120.00°
Space group R3m (No. 160, hexagonal axes)
Asymmetric unit:
Sr 0.0000 0.0000 0.0000
Li 0.0000 0.0000 0.2352
Ta 0.0000 0.0000 0.4926
Ta 0.0000 0.0000 0.7552

Run Q
Crystalline SrLiTa2 at its relaxed geometry. Source: Alexandria via LeMat-Bulk, functional PBE.

Cell: 3.186 3.186 8.334 Å, 90.00 90.00 90.00°
Space group P4/mmm (No. 123)
Asymmetric unit:
Sr 0.000 0.000 0.000
Li 0.000 0.000 0.500
Ta 0.500 0.500 0.328

Relative energies, unit eV/atom: run P 0.000; run Q 0.210

Run P
Crystalline SrLiTa2 at its relaxed geometry. Source: Alexandria via LeMat-Bulk, functional PBE.

Cell: 3.541 4.939 10.431 Å, 90.00 90.00 90.00°
Space group Cmm2 (No. 35)
Asymmetric unit:
Sr 0.000 0.000 0.000
Li 0.000 0.500 0.705
Ta 0.000 0.000 0.474
Ta 0.000 0.500 0.276

Run Q
Crystalline SrLiTa2 at its relaxed geometry. Source: Alexandria via LeMat-Bulk, functional PBE.

Cell: 4.003 4.003 11.206 Å, 90.00 90.00 90.00°
Space group I4/mmm (No. 139)
Asymmetric unit:
Sr 0.000 0.000 0.000
Li 0.000 0.000 0.500
Ta 0.000 0.500 0.250

Run R
Crystalline SrLiTa2 at its relaxed geometry. Source: Alexandria via LeMat-Bulk, functional PBE.

Cell: 3.547 3.547 7.803 Å, 90.00 90.00 90.00°
Space group P4mm (No. 99)
Asymmetric unit:
Sr 0.000 0.000 0.000
Li 0.500 0.500 0.663
Ta 0.000 0.000 0.446
Ta 0.500 0.500 0.305

Run S
Crystalline SrLiTa2 at its relaxed geometry. Source: Alexandria via LeMat-Bulk, functional PBE.

Cell: 2.926 2.926 10.534 Å, 90.00 90.00 90.00°
Space group P4mm (No. 99)
Asymmetric unit:
Sr 0.000 0.000 0.000
Li 0.500 0.500 0.713
Ta 0.000 0.000 0.487
Ta 0.500 0.500 0.282

Relative energies, unit eV/atom: run P 0.088; run Q 0.396; run R 0.000; run S 0.165

Run P
Crystalline SrLi2Ta at its relaxed geometry. Source: Alexandria via LeMat-Bulk, functional PBE.

Cell: 10.398 2.907 6.223 Å, 90.00 93.90 90.00°
Space group C2/m (No. 12)
Asymmetric unit:
Sr 0.000 0.000 0.000
Li 0.242 0.000 0.693
Ta 0.000 0.500 0.500

Run Q
Crystalline SrLi2Ta at its relaxed geometry. Source: Alexandria via LeMat-Bulk, functional PBE.

Cell: 2.931 4.691 6.836 Å, 90.00 102.19 90.00°
Space group Pm (No. 6)
Asymmetric unit:
Sr 0.000 0.000 0.000
Li 0.237 0.000 0.485
Li 0.351 0.500 0.704
Ta 0.655 0.500 0.317

Relative energies, unit eV/atom: run P 0.006; run Q 0.000